! Li7FeO4F2 GGA+U relaxed; values from VASP
! symmetry: P1
! energy: -5.05 eV per atom
&SYSTEM
  ibrav = 0, nat = 28, ntyp = 4
/
ATOMIC_SPECIES
Li 6.94 Li.upf
Fe 55.84 Fe.upf
O 16.00 O.upf
F 19.00 F.upf
ATOMIC_POSITIONS crystal
Li 0.0000 0.0000 0.0000
Li 0.0001 0.4844 0.9871
Li 0.1273 0.1285 0.5182
Li 0.1607 0.6356 0.5008
Li 0.2139 0.2171 0.8143
Li 0.3558 0.6714 0.2310
Li 0.3931 0.6229 0.8249
Li 0.4959 0.1803 0.5570
Li 0.5150 0.6730 0.5559
Li 0.6168 0.8887 0.0310
Li 0.6537 0.3837 0.0572
Li 0.7045 0.2390 0.7492
Li 0.8496 0.1158 0.3379
Li 0.8872 0.6640 0.7167
Fe 0.3158 0.1633 0.2270
Fe 0.8379 0.6711 0.3189
O 0.2146 0.4005 0.3668
O 0.2550 0.0983 0.0477
O 0.2625 0.8941 0.3778
O 0.3260 0.4621 0.6922
O 0.6978 0.0335 0.1822
O 0.7770 0.5236 0.1816
O 0.7891 0.8004 0.4904
O 0.8101 0.3964 0.8586
F 0.2827 0.5964 0.0421
F 0.3394 0.9616 0.6919
F 0.7731 0.2776 0.5212
F 0.8430 0.8762 0.8617
CELL_PARAMETERS angstrom
5.8614 0.0000 0.0000
2.8682 5.1938 0.0000
1.3185 2.2457 8.6707